# 1
# Dy5CuPb3 meta-GGA SCAN PBEsol geometry
data_Dy5CuPb3
_chemical_formula_sum 'Dy10 Cu2 Pb6'
_cell_length_a 9.0684
_cell_length_b 9.0684
_cell_length_c 6.5385
_cell_angle_alpha 90.00
_cell_angle_beta 90.00
_cell_angle_gamma 120.00
_space_group_name_H-M_alt 'P 63/m c m'
_space_group_IT_number 193
_space_group_name_Hall '-P 6c 2'
loop_
_atom_site_label
_atom_site_fract_x
_atom_site_fract_y
_atom_site_fract_z
Dy1 0.0000 0.2543 0.2500
Dy2 0.3333 0.6667 0.0000
Cu1 0.0000 0.0000 0.0000
Pb1 0.0000 0.3887 0.7500
# crystal system = hexagonal
# uncorrected energy = -54.20 eV per atom
# magnetization = 0.00 Bohr magnetons per cell

***

# 2
# Na2P2H12O11F2 meta-GGA SCAN PBEsol geometry
data_Na2P2H12O11F2
_chemical_formula_sum 'Na8 P8 H48 O44 F8'
_cell_length_a 19.156
_cell_length_b 5.215
_cell_length_c 12.364
_cell_angle_alpha 90.00
_cell_angle_beta 108.06
_cell_angle_gamma 90.00
_space_group_name_H-M_alt 'C 1 2/c 1'
_space_group_IT_number 15
_space_group_name_Hall '-C 2yc'
loop_
_atom_site_label
_atom_site_fract_x
_atom_site_fract_y
_atom_site_fract_z
Na1 0.022 0.095 0.383
P1 0.164 0.173 0.780
H1 0.041 0.441 0.757
H2 0.089 0.361 0.016
H3 0.116 0.108 0.087
H4 0.153 0.415 0.433
H5 0.155 0.284 0.551
H6 0.240 0.485 0.318
O1 0.000 0.435 0.250
O2 0.071 0.191 0.036
O3 0.084 0.134 0.766
O4 0.123 0.369 0.482
O5 0.188 0.452 0.821
O6 0.189 0.097 0.678
F1 0.211 0.002 0.882
# crystal system = monoclinic
# uncorrected energy = -6.68 eV per atom
# magnetization = 0.39 Bohr magnetons per cell

***

# 3
# Tc3PtO meta-GGA SCAN PBEsol geometry
data_Tc3PtO
_chemical_formula_sum 'Tc3 Pt1 O1'
_cell_length_a 4.690
_cell_length_b 4.690
_cell_length_c 4.690
_cell_angle_alpha 90.00
_cell_angle_beta 90.00
_cell_angle_gamma 90.00
_space_group_name_H-M_alt 'P m -3 m'
_space_group_IT_number 221
_space_group_name_Hall '-P 4 2 3'
loop_
_atom_site_label
_atom_site_fract_x
_atom_site_fract_y
_atom_site_fract_z
Tc1 0.000 0.000 0.500
Pt1 0.000 0.000 0.000
O1 0.500 0.500 0.500
# crystal system = cubic
# E_form (uncorrected) = 2.3635 eV/atom
# uncorrected energy = -33.96 eV per atom
# magnetization = 7.74 Bohr magnetons per cell

***

# 4
# ZrSbP2O meta-GGA SCAN PBEsol geometry
data_ZrSbP2O
_chemical_formula_sum 'Zr1 Sb1 P2 O1'
_cell_length_a 5.142
_cell_length_b 5.142
_cell_length_c 3.912
_cell_angle_alpha 90.00
_cell_angle_beta 90.00
_cell_angle_gamma 90.00
_space_group_name_H-M_alt 'P 4/m m m'
_space_group_IT_number 123
_space_group_name_Hall '-P 4 2'
loop_
_atom_site_label
_atom_site_fract_x
_atom_site_fract_y
_atom_site_fract_z
Zr1 0.000 0.000 0.000
Sb1 0.500 0.500 0.500
P1 0.000 0.500 0.000
O1 0.000 0.000 0.500
# crystal system = tetragonal
# E_form (uncorrected) = -0.5991 eV/atom
# uncorrected energy = -19.60 eV per atom
# magnetization = 0.00 Bohr magnetons per cell

***

# 5
# Zr3Si meta-GGA SCAN PBEsol geometry
data_Zr3Si
_chemical_formula_sum 'Zr6 Si2'
_cell_length_a 3.966
_cell_length_b 4.289
_cell_length_c 9.154
_cell_angle_alpha 90.00
_cell_angle_beta 90.00
_cell_angle_gamma 90.00
_space_group_name_H-M_alt 'I m m m'
_space_group_IT_number 71
_space_group_name_Hall '-I 2 2'
loop_
_atom_site_label
_atom_site_fract_x
_atom_site_fract_y
_atom_site_fract_z
Zr1 0.000 0.000 0.000
Zr2 0.000 0.500 0.240
Si1 0.000 0.000 0.500
# crystal system = orthorhombic
# E_form (uncorrected) = -0.3130 eV/atom
# uncorrected energy = -25.84 eV per atom
# magnetization = 0.00 Bohr magnetons per cell

***

# 6
# Ca2HOF meta-GGA SCAN PBEsol geometry
data_Ca2HOF
_chemical_formula_sum 'Ca2 H1 O1 F1'
_cell_length_a 4.440
_cell_length_b 4.440
_cell_length_c 4.380
_cell_angle_alpha 90.00
_cell_angle_beta 90.00
_cell_angle_gamma 90.00
_space_group_name_H-M_alt 'P 4/m m m'
_space_group_IT_number 123
_space_group_name_Hall '-P 4 2'
loop_
_atom_site_label
_atom_site_fract_x
_atom_site_fract_y
_atom_site_fract_z
Ca1 0.000 0.500 0.000
H1 0.000 0.000 0.500
O1 0.500 0.500 0.000
F1 0.500 0.500 0.500
# crystal system = tetragonal
# uncorrected energy = -7.94 eV per atom
# magnetization = 0.45 Bohr magnetons per cell